The following is a GGA+U calculation of a relaxed VRu2AuO crystal, from Alexandria.

Structure (CIF):
```
data_VRu2AuO
_symmetry_space_group_name_H-M 'P 4/m m m'
_symmetry_Int_Tables_number 123
_symmetry_space_group_name_Hall '-P 4 2'
_cell_length_a 4.9475
_cell_length_b 4.9475
_cell_length_c 4.9492
_cell_angle_alpha 90.00
_cell_angle_beta 90.00
_cell_angle_gamma 90.00
loop_
_atom_site_label
_atom_site_type_symbol
_atom_site_fract_x
_atom_site_fract_y
_atom_site_fract_z
_atom_site_occupancy
V1 V 0.0000 0.0000 0.0000 1
Ru1 Ru 0.0000 0.5000 0.5000 1
Au1 Au 0.0000 0.0000 0.5000 1
O1 O 0.5000 0.5000 0.0000 1
```

* E_tot: -4.289 eV/atom